[1]
Density functional theory data (PBE) for a relaxed structure of RbIn3Rh.

## Properties
Its calculated formation energy is -0.2090 eV per atom. Its symmetry is No. 221. The value obtained for the total energy is -3.516 eV per atom.

Unit cell a=5.268 b=5.268 c=5.268 alpha=90.00 beta=90.00 gamma=90.00
Element x y z (fractional)
In1 0.000 0.500 0.000
Rb1 0.500 0.500 0.500
Rh1 0.000 0.000 0.000
In2 0.500 0.000 0.000
In3 0.000 0.000 0.500



[2]
Density functional theory data (PBE) for a relaxed structure of KAuCl2.

## Properties
Its symmetry is No. 123. The value obtained for the total energy is -2.711 eV per atom. For the formation energy without anion corrections, the calculation gives -0.69 eV per atom.

Unit cell a=3.593 b=3.593 c=7.319 alpha=90.00 beta=90.00 gamma=90.00
Element x y z (fractional)
Cl1 0.000 0.000 0.516
Au1 0.500 0.500 0.750
K1 0.500 0.500 0.250
Cl2 0.000 0.000 0.984



[3]
Density functional theory data (PBE) for a relaxed structure of NdTm2InPd4.

## Properties
Its calculated formation energy is -0.8065 eV per atom. Its symmetry is No. 166. The value obtained for the total energy is -5.459 eV per atom.

Unit cell a=4.876 b=4.876 c=8.562 alpha=73.45 beta=73.45 gamma=60.00
Element x y z (fractional)
Pd1 0.618 0.618 0.146
Pd2 0.875 0.875 0.374
Nd1 0.000 0.000 0.000
Pd3 0.125 0.125 0.626
Pd4 0.382 0.382 0.854
In1 0.500 0.500 0.500
Tm1 0.756 0.756 0.731
Tm2 0.244 0.244 0.269



[4]
Density functional theory data (PBE) for a relaxed structure of AcYAu.

## Properties
Its calculated formation energy is -0.5336 eV per atom. Its symmetry is No. 14. The value obtained for the total energy is -5.150 eV per atom.

Unit cell a=6.465 b=9.483 c=8.093 alpha=129.93 beta=90.00 gamma=90.00
Element x y z (fractional)
Ac1 0.143 0.626 0.284
Ac2 0.357 0.126 0.784
Au1 0.121 0.011 0.337
Au2 0.621 0.489 0.163
Au3 0.879 0.989 0.663
Y1 0.338 0.301 0.371
Y2 0.162 0.801 0.871
Y3 0.838 0.199 0.129
Au4 0.379 0.511 0.837
Ac3 0.643 0.874 0.216
Y4 0.662 0.699 0.629
Ac4 0.857 0.374 0.716